Material: LiTb3Tm2S6
Method: DFT, PBE-GGA
State: relaxed

abc: 6.678 11.600 6.735
angles: 90.00 109.43 90.00
Space group C2/m (No. 12)
Unique sites:
Li 0.000 0.000 0.000 x2
Tb 0.000 0.165 0.500 x4
Tb 0.000 0.500 0.500 x2
Tm 0.000 0.334 0.000 x4
S 0.244 0.164 0.240 x8
S 0.247 0.000 0.764 x4

Computed properties:
Uncorrected energy = -6.08 eV per atom
Magnetization = 0.000 μB/f.u.